1.
Density functional theory data (PBE) for crystalline BaLaPmIn at its relaxed geometry.

Values from the calculation:
VASP energy (eV per atom): -3.590
Density of states at the Fermi level (states/eV/f.u.): 5.59
Energy of formation from the pure elements (eV/f.u.): -0.022
Total magnetic moment (μB/atom): 0.172

a = 8.321 Å, b = 8.321 Å, c = 8.321 Å
α = 90.00°, β = 90.00°, γ = 90.00°
Space group F-43m (No. 216)
Unique sites:
Ba: 0.000 0.000 0.000 [4 per cell]
La: 0.000 0.000 0.500 [4 per cell]
Pm: 0.250 0.250 0.750 [4 per cell]
In: 0.250 0.250 0.250 [4 per cell]

=====

2.
Density functional theory data (PBE) for crystalline BaLaPr2In4 at its relaxed geometry.

Values from the calculation:
VASP energy (eV per atom): -3.839
Density of states at the Fermi level (states/eV/f.u.): 5.80
Energy of formation from the pure elements (eV/f.u.): -3.353
Total magnetic moment (μB/atom): 0.000

a = 5.6520 Å, b = 5.6520 Å, c = 27.7922 Å
α = 90.00°, β = 90.00°, γ = 120.00°
Space group R-3m (No. 166, hexagonal axes)
Unique sites:
Ba: 0.0000 0.0000 0.0000 [3 per cell]
La: 0.0000 0.0000 0.5000 [3 per cell]
Pr: 0.0000 0.0000 0.2516 [6 per cell]
In: 0.0000 0.0000 0.1279 [6 per cell]
In: 0.0000 0.0000 0.3789 [6 per cell]